Record 1
Density functional theory data (PBE) for an optimized crystal structure of Ca2MgAg2.

Cell: 3.9381 3.9381 9.4394 Å, 77.96 77.96 90.00°
With the nearest neighbours (Å) after each atom.
Atoms (fractional coordinates):
1 Mg 0.0000 0.0000 0.0000  8 Ca 3.45
2 Ca 0.3875 0.3875 0.2251  4 Ag 3.17, 4 Mg 3.45
3 Ag 0.2500 0.7500 0.5000  4 Ag 2.78
4 Ag 0.7500 0.2500 0.5000  4 Ag 2.78
5 Ca 0.6125 0.6125 0.7749  4 Ag 3.17, 4 Mg 3.45

Values from the calculation:
polymorph energy (0 for the lowest one): 0.219 eV/atom
mass density: 3.80 g cm⁻³
volume: 140 Å³ per cell
DFT formation energy: -0.34 eV/f.u.
total magnetization: 0.000 μB per atom



Record 2
Density functional theory data (PBE) for an optimized crystal structure of Ca3Mg4Ag8.

Cell: 9.7298 9.7298 9.7298 Å, 60.00 60.00 60.00°
With the nearest neighbours (Å) after each atom.
Atoms (fractional coordinates):
1 Ca 0.2727 0.2727 0.7273  5 Mg 3.13-3.45, 8 Ag 3.15-3.37
2 Mg 0.0000 0.0000 0.0000  8 Ag 2.91
3 Ag 0.6682 0.9955 0.6682  3 Mg 2.81, 3 Ag 3.03
4 Ca 0.7273 0.2727 0.2727  5 Mg 3.13-3.45, 8 Ag 3.15-3.37
5 Mg 0.0000 0.0000 0.5000  8 Ag 2.81-3.00
6 Ag 0.8781 0.8781 0.8781  4 Mg 2.91-3.00, 3 Ag 3.03, 3 Ca 3.15
7 Ag 0.3318 0.0045 0.3318  3 Mg 2.81, 3 Ag 3.03
8 Ca 0.2727 0.7273 0.7273  5 Mg 3.13-3.45, 8 Ag 3.15-3.37
9 Ag 0.3318 0.3318 0.3318  3 Mg 2.81, 3 Ag 3.03
10 Ag 0.9955 0.6682 0.6682  3 Mg 2.81, 3 Ag 3.03
11 Ag 0.3658 0.8781 0.8781  4 Mg 2.91-3.00, 3 Ag 3.03, 3 Ca 3.15
12 Ag 0.8781 0.8781 0.3658  4 Mg 2.91-3.00, 3 Ag 3.03, 3 Ca 3.15
13 Ag 0.1219 0.6342 0.1219  4 Mg 2.91-3.00, 3 Ag 3.03, 3 Ca 3.15
14 Ag 0.8781 0.3658 0.8781  4 Mg 2.91-3.00, 3 Ag 3.03, 3 Ca 3.15
15 Ag 0.1219 0.1219 0.6342  4 Mg 2.91-3.00, 3 Ag 3.03, 3 Ca 3.15
16 Ag 0.3318 0.3318 0.0045  3 Mg 2.81, 3 Ag 3.03
17 Ca 0.7273 0.2727 0.7273  5 Mg 3.13-3.45, 8 Ag 3.15-3.37
18 Mg 0.0000 0.5000 0.5000  8 Ag 2.81-3.00
19 Mg 0.5000 0.0000 0.0000  8 Ag 2.81-3.00
20 Ca 0.7273 0.7273 0.2727  5 Mg 3.13-3.45, 8 Ag 3.15-3.37
21 Ca 0.2727 0.7273 0.2727  5 Mg 3.13-3.45, 8 Ag 3.15-3.37
22 Ag 0.6682 0.6682 0.9955  3 Mg 2.81, 3 Ag 3.03
23 Ag 0.6682 0.6682 0.6682  3 Mg 2.81, 3 Ag 3.03
24 Ag 0.6342 0.1219 0.1219  4 Mg 2.91-3.00, 3 Ag 3.03, 3 Ca 3.15
25 Mg 0.5000 0.5000 0.5000  6 Ca 3.13
26 Mg 0.5000 0.5000 0.0000  8 Ag 2.81-3.00
27 Mg 0.0000 0.5000 0.0000  8 Ag 2.81-3.00
28 Mg 0.5000 0.0000 0.5000  8 Ag 2.81-3.00
29 Ag 0.1219 0.1219 0.1219  4 Mg 2.91-3.00, 3 Ag 3.03, 3 Ca 3.15
30 Ag 0.0045 0.3318 0.3318  3 Mg 2.81, 3 Ag 3.03

Values from the calculation:
mass density: 5.51 g cm⁻³
volume: 651 Å³ per cell
DFT formation energy: -3.29 eV/f.u.
total magnetization: 0.000 μB per atom



Record 3
Density functional theory data (PBE) for an optimized crystal structure of Ca2Mg2Ag.

Cell: 8.0015 8.0015 5.0119 Å, 90.00 90.00 90.00°
With the nearest neighbours (Å) after each atom.
Atoms (fractional coordinates):
1 Mg 0.1412 0.6412 0.5000  1 Mg 3.20, 6 Ca 3.36-3.48
2 Mg 0.6412 0.8588 0.5000  1 Mg 3.20, 6 Ca 3.36-3.48
3 Ca 0.3396 0.8396 0.0000  2 Ag 3.00, 2 Mg 3.36
4 Ag 0.0000 0.0000 0.0000  4 Ca 3.00
5 Ca 0.1604 0.3396 0.0000  2 Ag 3.00, 2 Mg 3.36
6 Mg 0.3588 0.1412 0.5000  1 Mg 3.20, 6 Ca 3.36-3.48
7 Ca 0.6604 0.1604 0.0000  2 Ag 3.00, 2 Mg 3.36
8 Ag 0.5000 0.5000 0.0000  4 Ca 3.00
9 Mg 0.8588 0.3588 0.5000  1 Mg 3.20, 6 Ca 3.36-3.48
10 Ca 0.8396 0.6604 0.0000  2 Ag 3.00, 2 Mg 3.36

Values from the calculation:
polymorph energy (0 for the lowest one): 0.203 eV/atom
mass density: 2.45 g cm⁻³
volume: 321 Å³ per cell
DFT formation energy: 0.67 eV/f.u.
total magnetization: 0.000 μB per atom



Record 4
Density functional theory data (PBE) for an optimized crystal structure of CaMg10Ag3.

Cell: 9.8950 9.8950 9.8950 Å, 60.00 60.00 60.00°
With the nearest neighbours (Å) after each atom.
Atoms (fractional coordinates):
1 Mg 0.6565 0.0000 0.0000  2 Ag 2.75
2 Mg 0.6565 0.0000 0.3435  2 Ag 2.75
3 Mg 0.3864 0.3864 0.3864  3 Ag 2.80
4 Mg 0.0000 0.6565 0.0000  2 Ag 2.75
5 Ca 0.2500 0.2500 0.2500  4 Mg 3.31
6 Ca 0.7500 0.7500 0.7500  4 Mg 3.31
7 Mg 0.1592 0.6136 0.6136  3 Ag 2.80
8 Ag 0.7324 0.2676 0.7324  8 Mg 2.75-2.80
9 Mg 0.8408 0.3864 0.3864  3 Ag 2.80
10 Mg 0.0000 0.3435 0.0000  2 Ag 2.75
11 Ag 0.2676 0.7324 0.7324  8 Mg 2.75-2.80
12 Mg 0.0000 0.0000 0.3435  2 Ag 2.75
13 Mg 0.6136 0.6136 0.6136  3 Ag 2.80
14 Mg 0.0000 0.3435 0.6565  2 Ag 2.75
15 Mg 0.0000 0.6565 0.3435  2 Ag 2.75
16 Mg 0.6136 0.6136 0.1592  3 Ag 2.80
17 Mg 0.3435 0.6565 0.0000  2 Ag 2.75
18 Ag 0.7324 0.2676 0.2676  8 Mg 2.75-2.80
19 Mg 0.0000 0.0000 0.6565  2 Ag 2.75
20 Ag 0.7324 0.7324 0.2676  8 Mg 2.75-2.80
21 Mg 0.6136 0.1592 0.6136  3 Ag 2.80
22 Ag 0.2676 0.7324 0.2676  8 Mg 2.75-2.80
23 Ag 0.2676 0.2676 0.7324  8 Mg 2.75-2.80
24 Mg 0.3435 0.0000 0.0000  2 Ag 2.75
25 Mg 0.6565 0.3435 0.0000  2 Ag 2.75
26 Mg 0.3864 0.8408 0.3864  3 Ag 2.80
27 Mg 0.3435 0.0000 0.6565  2 Ag 2.75
28 Mg 0.3864 0.3864 0.8408  3 Ag 2.80

Values from the calculation:
mass density: 2.94 g cm⁻³
volume: 685 Å³ per cell
DFT formation energy: -0.61 eV/f.u.
total magnetization: 0.000 μB per atom



Record 5
Density functional theory data (PBE) for an optimized crystal structure of Ca4MgAg2.

Cell: 5.4708 5.4708 16.1194 Å, 90.00 90.00 120.03°
With the nearest neighbours (Å) after each atom.
Atoms (fractional coordinates):
1 Ca 0.1660 0.8340 0.2500  2 Ag 3.06, 3 Mg 3.16
2 Ca 0.1671 0.8329 0.8707  4 Ag 3.06-3.35
3 Mg 0.4992 0.5008 0.2500  3 Ca 3.16
4 Ag 0.1664 0.8336 0.4397  8 Ca 3.06-3.35
5 Mg 0.5008 0.4992 0.7500  3 Ca 3.16
6 Ca 0.5000 0.5000 0.0000  6 Ag 3.30-3.31
7 Ag 0.8336 0.1664 0.9397  8 Ca 3.06-3.35
8 Ca 0.8329 0.1671 0.3707  4 Ag 3.06-3.35
9 Ca 0.1671 0.8329 0.6293  4 Ag 3.06-3.35
10 Ca 0.8340 0.1660 0.7500  2 Ag 3.06, 3 Mg 3.16
11 Ca 0.8329 0.1671 0.1293  4 Ag 3.06-3.35
12 Ag 0.1664 0.8336 0.0603  8 Ca 3.06-3.35
13 Ag 0.8336 0.1664 0.5603  8 Ca 3.06-3.35
14 Ca 0.5000 0.5000 0.5000  6 Ag 3.30-3.31

Values from the calculation:
polymorph energy (0 for the lowest one): 0.000 eV/atom
mass density: 3.18 g cm⁻³
volume: 418 Å³ per cell
DFT formation energy: -1.12 eV/f.u.
total magnetization: 0.000 μB per atom



Record 6
Density functional theory data (PBE) for an optimized crystal structure of CaMg10Ag2.

Cell: 5.7605 7.7449 7.7726 Å, 82.08 68.25 68.17°
With the nearest neighbours (Å) after each atom.
Atoms (fractional coordinates):
1 Mg 0.2852 0.2220 0.2076  2 Ag 2.88, 7 Mg 3.00-3.19
2 Mg 0.4928 0.2220 0.7924  2 Ag 2.88, 7 Mg 3.00-3.19
3 Mg 0.3481 0.6394 0.6643  2 Ag 2.99, 6 Mg 3.11-3.19
4 Mg 0.7148 0.7780 0.7924  2 Ag 2.88, 7 Mg 3.00-3.19
5 Ag 0.0000 0.5000 0.0000  2 Ag 2.88, 8 Mg 2.88-2.99
6 Mg 0.9875 0.3606 0.6643  2 Ag 2.99, 6 Mg 3.11-3.19
7 Mg 0.5072 0.7780 0.2076  2 Ag 2.88, 7 Mg 3.00-3.19
8 Mg 0.5000 0.0000 0.5000  10 Mg 2.88-3.19
9 Mg 0.6519 0.3606 0.3357  2 Ag 2.99, 6 Mg 3.11-3.19
10 Mg 0.0125 0.6394 0.3357  2 Ag 2.99, 6 Mg 3.11-3.19
11 Mg 0.0000 0.0000 0.5000  10 Mg 2.88-3.19
12 Ca 0.0000 0.0000 0.0000  16 Mg 3.55-3.89, 4 Ag 3.87
13 Ag 0.5000 0.5000 0.0000  2 Ag 2.88, 8 Mg 2.88-2.99

Values from the calculation:
mass density: 2.77 g cm⁻³
volume: 299 Å³ per cell
DFT formation energy: -1.23 eV/f.u.
total magnetization: 0.000 μB per atom



- What is the formula in the fifth record?
  Ca4MgAg2



- Which value of mass density does entry 2 give?
  5.51 g cm⁻³